# 1
# Ac2TmRu3O12 (PBE, relaxed)
data_Ac2TmRu3O12
_chemical_formula_sum 'Ac2 Tm1 Ru3 O12'
_cell_length_a 6.7414
_cell_length_b 6.7414
_cell_length_c 6.7414
_cell_angle_alpha 64.87
_cell_angle_beta 64.87
_cell_angle_gamma 64.87
_space_group_name_H-M_alt 'P 1'
_space_group_IT_number 1
_space_group_name_Hall 'P 1'
loop_
_atom_site_label
_atom_site_type_symbol
_atom_site_fract_x
_atom_site_fract_y
_atom_site_fract_z
Ac1 Ac 0.1180 0.1180 0.1180
Ac2 Ac 0.8820 0.8820 0.8820
Tm1 Tm 0.5000 0.5000 0.5000
Ru1 Ru 0.0000 0.5000 0.5000
Ru2 Ru 0.5000 0.0000 0.5000
Ru3 Ru 0.5000 0.5000 0.0000
O1 O 0.0863 0.6403 0.6403
O2 O 0.2178 0.2178 0.6207
O3 O 0.2178 0.6207 0.2178
O4 O 0.3597 0.3597 0.9137
O5 O 0.3597 0.9137 0.3597
O6 O 0.3793 0.7822 0.7822
O7 O 0.6207 0.2178 0.2178
O8 O 0.6403 0.0863 0.6403
O9 O 0.6403 0.6403 0.0863
O10 O 0.7822 0.3793 0.7822
O11 O 0.7822 0.7822 0.3793
O12 O 0.9137 0.3597 0.3597
# Calculated volume ... 13.3 Å³ per atom
# E ... -133.3 eV for the cell shown
# Formation energy (no corrections) ... -33.3 eV per formula unit

# 2
# Ac2TmRuO8 (PBE, relaxed)
data_Ac2TmRuO8
_chemical_formula_sum 'Ac2 Tm1 Ru1 O8'
_cell_length_a 4.5881
_cell_length_b 7.1724
_cell_length_c 5.5363
_cell_angle_alpha 90.00
_cell_angle_beta 97.02
_cell_angle_gamma 90.00
_space_group_name_H-M_alt 'P 1'
_space_group_IT_number 1
_space_group_name_Hall 'P 1'
loop_
_atom_site_label
_atom_site_type_symbol
_atom_site_fract_x
_atom_site_fract_y
_atom_site_fract_z
Ac1 Ac 0.0000 0.2424 0.0000
Ac2 Ac 0.0000 0.7576 0.0000
Tm1 Tm 0.5000 0.5000 0.5000
Ru1 Ru 0.5000 0.0000 0.5000
O1 O 0.0967 0.5000 0.2553
O2 O 0.1256 0.0000 0.3426
O3 O 0.4228 0.2121 0.7201
O4 O 0.4228 0.7879 0.7201
O5 O 0.5772 0.2121 0.2799
O6 O 0.5772 0.7879 0.2799
O7 O 0.8744 0.0000 0.6574
O8 O 0.9033 0.5000 0.7447
# Calculated volume ... 15.1 Å³ per atom
# E ... -88.9 eV for the cell shown
# Formation energy (no corrections) ... -27.2 eV per formula unit

# 3
# AcTmRu2O8 (PBE, relaxed)
data_AcTmRu2O8
_chemical_formula_sum 'Ac1 Tm1 Ru2 O8'
_cell_length_a 5.8384
_cell_length_b 5.8384
_cell_length_c 7.2457
_cell_angle_alpha 90.00
_cell_angle_beta 90.00
_cell_angle_gamma 120.00
_space_group_name_H-M_alt 'P 1'
_space_group_IT_number 1
_space_group_name_Hall 'P 1'
loop_
_atom_site_label
_atom_site_type_symbol
_atom_site_fract_x
_atom_site_fract_y
_atom_site_fract_z
Ac1 Ac 0.0000 0.0000 0.0000
Tm1 Tm 0.0000 0.0000 0.5000
Ru1 Ru 0.3333 0.6667 0.7794
Ru2 Ru 0.6667 0.3333 0.2206
O1 O 0.1569 0.3137 0.7122
O2 O 0.1569 0.8431 0.7122
O3 O 0.3137 0.1569 0.2878
O4 O 0.3333 0.6667 0.0291
O5 O 0.6667 0.3333 0.9709
O6 O 0.6863 0.8431 0.7122
O7 O 0.8431 0.1569 0.2878
O8 O 0.8431 0.6863 0.2878
# Calculated volume ... 17.8 Å³ per atom
# E ... -88.1 eV for the cell shown
# Formation energy (no corrections) ... -21.3 eV per formula unit